Density functional theory data (PBE) for a geometry-optimized Sc2InRe structure.

The structure in POSCAR format:
```
Sc2InRe
1.0
3.213 0.000 0.000
-1.606 2.782 0.000
0.000 0.000 30.479
Sc In Re
6 3 3
direct
0.000 0.000 0.102 Sc
0.000 0.000 0.898 Sc
0.333 0.667 0.565 Sc
0.333 0.667 0.769 Sc
0.667 0.333 0.231 Sc
0.667 0.333 0.435 Sc
0.000 0.000 0.000 In
0.333 0.667 0.667 In
0.667 0.333 0.333 In
0.000 0.000 0.500 Re
0.333 0.667 0.167 Re
0.667 0.333 0.833 Re
```

Results
* calculated formation energy: 0.163 eV per atom
* SG: R-3m, No. 166

***

Density functional theory data (PBE) for a geometry-optimized Sc3InRe structure.

The structure in POSCAR format:
```
Sc3InRe
1.0
5.057 0.000 0.000
0.000 5.057 0.000
0.000 0.000 5.057
Sc In Re
3 1 1
direct
0.000 0.000 0.500 Sc
0.000 0.500 0.000 Sc
0.500 0.000 0.000 Sc
0.500 0.500 0.500 In
0.000 0.000 0.000 Re
```

Results
* distance to the lowest polymorph of the same formula: 0.000 eV per atom
* calculated formation energy: 0.184 eV per atom
* SG: Pm-3m, No. 221

***

Density functional theory data (PBE) for a geometry-optimized Sc3InRe structure.

The structure in POSCAR format:
```
Sc3InRe
1.0
5.187 0.000 0.000
0.000 5.187 0.000
0.000 0.000 5.187
Sc In Re
3 1 1
direct
0.000 0.000 0.500 Sc
0.000 0.500 0.000 Sc
0.500 0.000 0.000 Sc
0.000 0.000 0.000 In
0.500 0.500 0.500 Re
```

Results
* distance to the lowest polymorph of the same formula: 1.184 eV per atom
* calculated formation energy: 1.368 eV per atom
* SG: Pm-3m, No. 221

***

Density functional theory data (PBE) for a geometry-optimized Sc2InRe structure.

The structure in POSCAR format:
```
Sc2InRe
1.0
3.383 0.000 0.000
0.000 3.383 0.000
0.000 0.000 6.915
Sc In Re
2 1 1
direct
0.000 0.000 0.216 Sc
0.000 0.000 0.784 Sc
0.500 0.500 0.500 In
0.500 0.500 0.000 Re
```

Results
* calculated formation energy: -0.281 eV per atom
* SG: P4/mmm, No. 123

***

Density functional theory data (PBE) for a geometry-optimized ScIn2Re structure.

The structure in POSCAR format:
```
ScIn2Re
1.0
4.107 0.000 0.000
0.000 4.107 0.000
0.000 0.000 20.440
Sc In Re
4 8 4
direct
0.000 0.000 0.000 Sc
0.000 0.500 0.250 Sc
0.500 0.000 0.750 Sc
0.500 0.500 0.500 Sc
0.235 0.250 0.625 In
0.250 0.735 0.875 In
0.250 0.765 0.375 In
0.265 0.250 0.125 In
0.735 0.750 0.125 In
0.750 0.235 0.375 In
0.750 0.265 0.875 In
0.765 0.750 0.625 In
0.000 0.000 0.500 Re
0.000 0.500 0.750 Re
0.500 0.000 0.250 Re
0.500 0.500 0.000 Re
```

Results
* distance to the lowest polymorph of the same formula: 0.408 eV per atom
* calculated formation energy: 0.479 eV per atom
* SG: I-42d, No. 122

***

Density functional theory data (PBE) for a geometry-optimized ScIn2Re structure.

The structure in POSCAR format:
```
ScIn2Re
1.0
3.194 0.000 0.000
-1.597 2.766 0.000
0.000 0.000 28.939
Sc In Re
3 6 3
direct
0.000 0.000 0.000 Sc
0.333 0.667 0.667 Sc
0.667 0.333 0.333 Sc
0.000 0.000 0.522 In
0.000 0.000 0.760 In
0.333 0.667 0.189 In
0.333 0.667 0.427 In
0.667 0.333 0.094 In
0.667 0.333 0.856 In
0.000 0.000 0.265 Re
0.333 0.667 0.932 Re
0.667 0.333 0.599 Re
```

Results
* distance to the lowest polymorph of the same formula: 0.169 eV per atom
* calculated formation energy: 0.240 eV per atom
* SG: R3m, No. 160

***

Density functional theory data (PBE) for a geometry-optimized ScIn2Re structure.

The structure in POSCAR format:
```
ScIn2Re
1.0
9.728 0.000 0.000
0.000 3.646 0.000
-1.684 0.000 4.438
Sc In Re
2 4 2
direct
0.000 0.000 0.000 Sc
0.500 0.500 0.000 Sc
0.240 0.000 0.731 In
0.260 0.500 0.269 In
0.740 0.500 0.731 In
0.760 0.000 0.269 In
0.000 0.500 0.500 Re
0.500 0.000 0.500 Re
```

Results
* distance to the lowest polymorph of the same formula: 0.013 eV per atom
* calculated formation energy: 0.084 eV per atom
* SG: C2/m, No. 12

***

Density functional theory data (PBE) for a geometry-optimized ScInRe3 structure.

The structure in POSCAR format:
```
ScInRe3
1.0
4.829 0.000 0.000
0.000 4.829 0.000
0.000 0.000 4.829
Sc In Re
1 1 3
direct
0.000 0.000 0.000 Sc
0.500 0.500 0.500 In
0.000 0.500 0.500 Re
0.500 0.000 0.500 Re
0.500 0.500 0.000 Re
```

Results
* distance to the lowest polymorph of the same formula: 0.177 eV per atom
* calculated formation energy: 2.431 eV per atom
* SG: Pm-3m, No. 221

***

Density functional theory data (PBE) for a geometry-optimized ScInRe2 structure.

The structure in POSCAR format:
```
ScInRe2
1.0
2.976 0.000 0.000
0.000 4.420 0.000
-1.403 0.000 5.406
Sc In Re
1 1 2
direct
0.000 0.000 0.000 Sc
0.627 0.500 0.244 In
0.274 0.500 0.716 Re
0.513 0.000 0.543 Re
```

Results
* calculated formation energy: 0.133 eV per atom
* SG: Pm, No. 6

***

Density functional theory data (PBE) for a geometry-optimized Sc2InRe structure.

The structure in POSCAR format:
```
Sc2InRe
1.0
3.236 0.000 0.000
-1.618 2.802 0.000
0.000 0.000 27.306
Sc In Re
6 3 3
direct
0.000 0.000 0.239 Sc
0.000 0.000 0.761 Sc
0.333 0.667 0.428 Sc
0.333 0.667 0.906 Sc
0.667 0.333 0.094 Sc
0.667 0.333 0.572 Sc
0.000 0.000 0.000 In
0.333 0.667 0.667 In
0.667 0.333 0.333 In
0.000 0.000 0.500 Re
0.333 0.667 0.167 Re
0.667 0.333 0.833 Re
```

Results
* calculated formation energy: -0.072 eV per atom
* SG: R-3m, No. 166

***

Density functional theory data (PBE) for a geometry-optimized ScInRe2 structure.

The structure in POSCAR format:
```
ScInRe2
1.0
3.031 0.000 0.000
0.000 3.031 0.000
0.000 0.000 8.039
Sc In Re
1 1 2
direct
0.000 0.000 0.000 Sc
0.500 0.500 0.308 In
0.000 0.000 0.573 Re
0.500 0.500 0.753 Re
```

Results
* calculated formation energy: -0.093 eV per atom
* SG: P4mm, No. 99

***

Density functional theory data (PBE) for a geometry-optimized Sc2InRe structure.

The structure in POSCAR format:
```
Sc2InRe
1.0
2.929 0.000 0.000
0.000 4.583 0.000
0.000 0.000 5.878
Sc In Re
2 1 1
direct
0.000 0.000 0.000 Sc
0.500 0.500 0.275 Sc
0.000 0.000 0.520 In
0.500 0.500 0.794 Re
```

Results
* calculated formation energy: 0.085 eV per atom
* SG: Pmm2, No. 25

***

Density functional theory data (PBE) for a geometry-optimized ScIn2Re structure.

The structure in POSCAR format:
```
ScIn2Re
1.0
5.845 0.000 0.000
0.000 9.016 0.000
-0.369 0.000 2.947
Sc In Re
2 4 2
direct
0.000 0.000 0.000 Sc
0.500 0.500 0.000 Sc
0.250 0.250 0.500 In
0.250 0.750 0.500 In
0.750 0.250 0.500 In
0.750 0.750 0.500 In
0.000 0.500 0.000 Re
0.500 0.000 0.000 Re
```

Results
* distance to the lowest polymorph of the same formula: 0.174 eV per atom
* calculated formation energy: 0.245 eV per atom
* SG: C2/m, No. 12

***

Density functional theory data (PBE) for a geometry-optimized ScInRe2 structure.

The structure in POSCAR format:
```
ScInRe2
1.0
3.237 0.000 0.000
0.000 4.665 0.000
0.000 0.000 9.206
Sc In Re
2 2 4
direct
0.000 0.000 0.000 Sc
0.500 0.500 0.000 Sc
0.000 0.000 0.500 In
0.500 0.500 0.500 In
0.000 0.500 0.246 Re
0.000 0.500 0.754 Re
0.500 0.000 0.246 Re
0.500 0.000 0.754 Re
```

Results
* calculated formation energy: 0.352 eV per atom
* SG: Cmmm, No. 65

***

Density functional theory data (PBE) for a geometry-optimized ScInRe2 structure.

The structure in POSCAR format:
```
ScInRe2
1.0
10.168 0.000 0.000
0.000 3.296 0.000
-1.853 0.000 4.164
Sc In Re
2 2 4
direct
0.000 0.000 0.000 Sc
0.500 0.500 0.000 Sc
0.000 0.500 0.500 In
0.500 0.000 0.500 In
0.244 0.500 0.265 Re
0.256 0.000 0.735 Re
0.744 0.000 0.265 Re
0.756 0.500 0.735 Re
```

Results
* calculated formation energy: 0.251 eV per atom
* SG: C2/m, No. 12

***

Density functional theory data (PBE) for a geometry-optimized ScInRe2 structure.

The structure in POSCAR format:
```
ScInRe2
1.0
3.289 0.000 0.000
0.000 4.621 0.000
0.000 0.000 9.352
Sc In Re
2 2 4
direct
0.000 0.000 0.000 Sc
0.500 0.500 0.500 Sc
0.000 0.500 0.776 In
0.500 0.000 0.276 In
0.000 0.000 0.531 Re
0.000 0.500 0.240 Re
0.500 0.000 0.740 Re
0.500 0.500 0.031 Re
```

Results
* calculated formation energy: 0.122 eV per atom
* SG: Imm2, No. 44

***

Density functional theory data (PBE) for a geometry-optimized ScIn2Re structure.

The structure in POSCAR format:
```
ScIn2Re
1.0
2.956 0.000 0.000
0.000 4.660 0.000
-1.311 0.000 5.693
Sc In Re
1 2 1
direct
0.000 0.000 0.000 Sc
0.415 0.500 0.740 In
0.585 0.500 0.260 In
0.000 0.000 0.500 Re
```

Results
* distance to the lowest polymorph of the same formula: 0.094 eV per atom
* calculated formation energy: 0.165 eV per atom
* SG: P2/m, No. 10

***

Density functional theory data (PBE) for a geometry-optimized ScInRe4 structure.

The structure in POSCAR format:
```
ScInRe4
1.0
0.000 3.737 3.737
3.737 0.000 3.737
3.737 3.737 0.000
Sc In Re
1 1 4
direct
0.000 0.000 0.000 Sc
0.750 0.750 0.750 In
0.375 0.375 0.375 Re
0.375 0.375 0.874 Re
0.375 0.874 0.375 Re
0.874 0.375 0.375 Re
```

Results
* calculated formation energy: 0.052 eV per atom
* SG: F-43m, No. 216

***

Density functional theory data (PBE) for a geometry-optimized ScIn2Re structure.

The structure in POSCAR format:
```
ScIn2Re
1.0
6.781 0.000 0.000
0.000 6.781 0.000
0.000 0.000 6.781
Sc In Re
4 8 4
direct
0.000 0.000 0.000 Sc
0.000 0.500 0.500 Sc
0.500 0.000 0.500 Sc
0.500 0.500 0.000 Sc
0.000 0.000 0.500 In
0.000 0.500 0.000 In
0.250 0.250 0.250 In
0.250 0.750 0.750 In
0.500 0.000 0.000 In
0.500 0.500 0.500 In
0.750 0.250 0.750 In
0.750 0.750 0.250 In
0.250 0.250 0.750 Re
0.250 0.750 0.250 Re
0.750 0.250 0.250 Re
0.750 0.750 0.750 Re
```

Results
* distance to the lowest polymorph of the same formula: 0.227 eV per atom
* calculated formation energy: 0.298 eV per atom
* SG: F-43m, No. 216

***

Density functional theory data (PBE) for a geometry-optimized ScIn2Re structure.

The structure in POSCAR format:
```
ScIn2Re
1.0
4.300 0.000 0.000
0.000 4.300 0.000
0.000 0.000 8.303
Sc In Re
2 4 2
direct
0.000 0.000 0.000 Sc
0.500 0.500 0.500 Sc
0.000 0.500 0.250 In
0.000 0.500 0.750 In
0.500 0.000 0.250 In
0.500 0.000 0.750 In
0.000 0.000 0.500 Re
0.500 0.500 0.000 Re
```

Results
* distance to the lowest polymorph of the same formula: 0.000 eV per atom
* calculated formation energy: 0.071 eV per atom
* SG: I4/mmm, No. 139